Below is CrGaO3 after structural relaxation, with properties calculated at the PBE with a Hubbard U level.

Calculated values
As for the magnetization: 0.434 μB/atom. Its total DFT energy (no corrections) is -30.4 eV per cell.

Unit cell a=3.758 b=3.758 c=3.758 alpha=90.00 beta=90.00 gamma=90.00
Positions (direct):
Cr 0.000 0.000 0.000
O 0.000 0.500 0.000
O 0.000 0.000 0.500
O 0.500 0.000 0.000
Ga 0.500 0.500 0.500